1:
DFT (GGA-PBE) results for a relaxed Sm3HgTe2 crystal.

Cell: 4.3011 6.2815 13.6545 Å, 90.00 90.00 90.00°
Space group Immm (No. 71)
One atom of each set of equivalent atoms:
1 Sm 0.0000 0.0000 0.0000
2 Sm 0.0000 0.0000 0.3353
3 Hg 0.0000 0.5000 0.0000
4 Te 0.0000 0.5000 0.3320

=====

2:
DFT (GGA-PBE) results for a relaxed Sm3HgTe2 crystal.

Cell: 8.9552 12.5381 26.2865 Å, 90.00 90.00 90.00°
Space group Fddd (No. 70, origin choice 2)
One atom of each set of equivalent atoms:
1 Sm 0.1216 0.3750 0.3750
2 Sm 0.1226 0.3735 0.2086
3 Hg 0.1250 0.1250 0.0415
4 Te 0.1250 0.1250 0.3764
5 Te 0.1250 0.1250 0.5430

=====

1 is preferred energetically. Next in line: 1.1 kJ/mol of atoms higher.